1.
# Tm4ThSc2 (PBE, optimized geometry)
# Total DFT energy (no corrections), eV/atom: -5.265
# DFT formation energy, eV/atom: 0.159
data_Tm4ThSc2
_symmetry_space_group_name_H-M 'P 1'
_symmetry_Int_Tables_number 1
_symmetry_space_group_name_Hall 'P 1'
_cell_length_a 5.8030
_cell_length_b 6.4186
_cell_length_c 11.2835
_cell_angle_alpha 90.00
_cell_angle_beta 104.92
_cell_angle_gamma 90.00
loop_
_atom_site_label
_atom_site_type_symbol
_atom_site_fract_x
_atom_site_fract_y
_atom_site_fract_z
Tm1 Tm 0.0380 0.2500 0.1737
Tm2 Tm 0.1631 0.7500 0.4212
Tm3 Tm 0.3651 0.5034 0.7111
Tm4 Tm 0.3651 0.9966 0.7111
Tm5 Tm 0.6349 0.0034 0.2889
Tm6 Tm 0.6349 0.4966 0.2889
Tm7 Tm 0.8369 0.2500 0.5788
Tm8 Tm 0.9620 0.7500 0.8263
Th1 Th 0.1698 0.7500 0.1215
Th2 Th 0.8302 0.2500 0.8785
Sc1 Sc 0.2764 0.2500 0.4496
Sc2 Sc 0.3933 0.2500 0.9958
Sc3 Sc 0.6067 0.7500 0.0042
Sc4 Sc 0.7236 0.7500 0.5504

---

2.
# Tm7Th2Sc2 (PBE, optimized geometry)
# Total DFT energy (no corrections), eV/atom: -5.203
# DFT formation energy, eV/atom: 0.143
data_Tm7Th2Sc2
_symmetry_space_group_name_H-M 'P 1'
_symmetry_Int_Tables_number 1
_symmetry_space_group_name_Hall 'P 1'
_cell_length_a 6.1409
_cell_length_b 6.1409
_cell_length_c 9.6414
_cell_angle_alpha 91.20
_cell_angle_beta 91.20
_cell_angle_gamma 113.87
loop_
_atom_site_label
_atom_site_type_symbol
_atom_site_fract_x
_atom_site_fract_y
_atom_site_fract_z
Tm1 Tm 0.0000 0.0000 0.0000
Tm2 Tm 0.1641 0.5776 0.1487
Tm3 Tm 0.2987 0.2987 0.7116
Tm4 Tm 0.4224 0.8359 0.8513
Tm5 Tm 0.5776 0.1641 0.1487
Tm6 Tm 0.7013 0.7013 0.2884
Tm7 Tm 0.8359 0.4224 0.8513
Th1 Th 0.1906 0.1906 0.3723
Th2 Th 0.8094 0.8094 0.6277
Sc1 Sc 0.2708 0.7292 0.5000
Sc2 Sc 0.7292 0.2708 0.5000